The following is a PBE+U calculation of a geometry-optimized Cs2TmMn3F12 structure, from the Alexandria database.

abc: 7.8926 7.8926 7.8926
angles: 58.02 58.02 58.02
Sites, in units of the cell vectors:
Cs 0.1173 0.1173 0.1173
Cs 0.8827 0.8827 0.8827
Tm 0.5000 0.5000 0.5000
Mn 0.0000 0.5000 0.5000
Mn 0.5000 0.0000 0.5000
Mn 0.5000 0.5000 0.0000
F 0.1680 0.5775 0.5775
F 0.1903 0.1903 0.5728
F 0.1903 0.5728 0.1903
F 0.4225 0.4225 0.8320
F 0.4225 0.8320 0.4225
F 0.4272 0.8097 0.8097
F 0.5728 0.1903 0.1903
F 0.5775 0.1680 0.5775
F 0.5775 0.5775 0.1680
F 0.8097 0.4272 0.8097
F 0.8097 0.8097 0.4272
F 0.8320 0.4225 0.4225

Calculated values
DFT total energy = -5.880 eV per atom
Magnetization = 14.0 μB per formula unit
D(E_F) = 0.42 states/eV/f.u.